# Ce6Si2C PBE relaxed
data_Ce6Si2C
_space_group_name_H-M_alt 'P 1'
_space_group_IT_number 1
_cell_length_a 6.722
_cell_length_b 6.722
_cell_length_c 11.304
_cell_angle_alpha 90.00
_cell_angle_beta 90.00
_cell_angle_gamma 90.00
loop_
_space_group_symop_operation_xyz
'x,y,z'
loop_
_atom_site_label
_atom_site_type_symbol
_atom_site_fract_x
_atom_site_fract_y
_atom_site_fract_z
Ce1 Ce 0.302 0.302 0.353
Ce2 Ce 0.698 0.698 0.353
Ce3 Ce 0.198 0.802 0.853
Ce4 Ce 0.802 0.198 0.853
Ce5 Ce 0.198 0.802 0.147
Ce6 Ce 0.802 0.198 0.147
Ce7 Ce 0.302 0.302 0.647
Ce8 Ce 0.698 0.698 0.647
Ce9 Ce 0.264 0.264 0.000
Ce10 Ce 0.736 0.736 0.000
Ce11 Ce 0.236 0.764 0.500
Ce12 Ce 0.764 0.236 0.500
Si1 Si 0.000 0.000 0.338
Si2 Si 0.500 0.500 0.838
Si3 Si 0.500 0.500 0.162
Si4 Si 0.000 0.000 0.662
C1 C 0.000 0.000 0.000
C2 C 0.500 0.500 0.500
# - total magnetic moment (μB/cell) = 9.6
# - energy above the lowest structure with this stoichiometry (meV/atom) = 276
# - uncorrected formation energy (meV/atom) = -67